1.
Material: PrNdZnPd
Method: DFT, PBE-GGA
State: optimized geometry

CIF file:
```
data_PrNdZnPd
_cell_length_a 7.3427
_cell_length_b 7.3427
_cell_length_c 7.3427
_cell_angle_alpha 90.00
_cell_angle_beta 90.00
_cell_angle_gamma 90.00
_symmetry_space_group_name_H-M 'F -4 3 m'
_symmetry_Int_Tables_number 216
_symmetry_space_group_name_Hall 'F -4 2 3'
loop_
_atom_site_label
_atom_site_type_symbol
_atom_site_fract_x
_atom_site_fract_y
_atom_site_fract_z
_atom_site_occupancy
Pr1 Pr 0.0000 0.0000 0.0000 1
Nd1 Nd 0.0000 0.0000 0.5000 1
Zn1 Zn 0.2500 0.2500 0.2500 1
Pd1 Pd 0.2500 0.2500 0.7500 1
```

Output
Calculated density ... 7.67 g/cm3
M_tot ... 0.000 μB/f.u.

***

2.
Material: PrNdZnPd
Method: DFT, PBE-GGA
State: optimized geometry

CIF file:
```
data_PrNdZnPd
_cell_length_a 4.5964
_cell_length_b 3.9709
_cell_length_c 11.2009
_cell_angle_alpha 90.00
_cell_angle_beta 90.00
_cell_angle_gamma 90.00
_symmetry_space_group_name_H-M 'A m m 2'
_symmetry_Int_Tables_number 38
loop_
_symmetry_equiv_pos_as_xyz
'x,y,z'
'-x,-y,z'
'-x,y,z'
'x,-y,z'
'x,y+1/2,z+1/2'
'-x,-y+1/2,z+1/2'
'-x,y+1/2,z+1/2'
'x,-y+1/2,z+1/2'
loop_
_atom_site_label
_atom_site_type_symbol
_atom_site_fract_x
_atom_site_fract_y
_atom_site_fract_z
_atom_site_occupancy
Pr1 Pr 0.0000 0.0000 0.0000 1
Nd1 Nd 0.5000 0.0000 0.2814 1
Zn1 Zn 0.5000 0.0000 0.5674 1
Pd1 Pd 0.0000 0.0000 0.7102 1
```

Output
Calculated density ... 7.42 g/cm3
M_tot ... 0.000 μB/f.u.

***

Energy relative to the most stable one, in meV per atom: 1 40; 2 0

***

1.
Material: NdPd2Pt
Method: DFT, PBE-GGA
State: optimized geometry

CIF file:
```
data_NdPd2Pt
_cell_length_a 6.7182
_cell_length_b 6.7182
_cell_length_c 6.7182
_cell_angle_alpha 90.00
_cell_angle_beta 90.00
_cell_angle_gamma 90.00
_symmetry_space_group_name_H-M 'F m -3 m'
_symmetry_Int_Tables_number 225
_symmetry_space_group_name_Hall '-F 4 2 3'
loop_
_atom_site_label
_atom_site_type_symbol
_atom_site_fract_x
_atom_site_fract_y
_atom_site_fract_z
_atom_site_occupancy
Nd1 Nd 0.0000 0.0000 0.0000 1
Pd1 Pd 0.2500 0.2500 0.2500 1
Pt1 Pt 0.0000 0.0000 0.5000 1
```

Output
Calculated density ... 12.10 g/cm3
M_tot ... 0.000 μB/f.u.

***

2.
Material: NdPd2Pt
Method: DFT, PBE-GGA
State: optimized geometry

CIF file:
```
data_NdPd2Pt
_cell_length_a 4.2205
_cell_length_b 4.2205
_cell_length_c 4.1664
_cell_angle_alpha 90.00
_cell_angle_beta 90.00
_cell_angle_gamma 90.00
_symmetry_space_group_name_H-M 'P 4/m m m'
_symmetry_Int_Tables_number 123
_symmetry_space_group_name_Hall '-P 4 2'
loop_
_atom_site_label
_atom_site_type_symbol
_atom_site_fract_x
_atom_site_fract_y
_atom_site_fract_z
_atom_site_occupancy
Nd1 Nd 0.0000 0.0000 0.0000 1
Pd1 Pd 0.0000 0.5000 0.5000 1
Pt1 Pt 0.5000 0.5000 0.0000 1
```

Output
Calculated density ... 12.35 g/cm3
M_tot ... 0.000 μB/f.u.

***

Energy relative to the most stable one, in meV per atom: 1 154; 2 0

***

1.
Material: NdPd3Pt
Method: DFT, PBE-GGA
State: optimized geometry

CIF file:
```
data_NdPd3Pt
_cell_length_a 4.4719
_cell_length_b 6.4966
_cell_length_c 6.5495
_cell_angle_alpha 90.00
_cell_angle_beta 90.00
_cell_angle_gamma 90.00
_symmetry_space_group_name_H-M 'P m m n'
_symmetry_Int_Tables_number 59
loop_
_symmetry_equiv_pos_as_xyz
'x,y,z'
'-x,-y,-z'
'-x+1/2,-y+1/2,z'
'x+1/2,y+1/2,-z'
'x+1/2,-y,-z'
'-x+1/2,y,z'
'-x,y+1/2,-z'
'x,-y+1/2,z'
loop_
_atom_site_label
_atom_site_type_symbol
_atom_site_fract_x
_atom_site_fract_y
_atom_site_fract_z
_atom_site_occupancy
Nd1 Nd 0.2500 0.2500 0.2410 1
Pd1 Pd 0.2500 0.0494 0.7529 1
Pd2 Pd 0.2500 0.7500 0.4530 1
Pt1 Pt 0.2500 0.7500 0.0560 1
```

Output
Calculated density ... 11.49 g/cm3
M_tot ... 0.000 μB/f.u.

***

2.
Material: NdPd3Pt
Method: DFT, PBE-GGA
State: optimized geometry

CIF file:
```
data_NdPd3Pt
_cell_length_a 5.2381
_cell_length_b 7.6872
_cell_length_c 9.5105
_cell_angle_alpha 90.00
_cell_angle_beta 90.00
_cell_angle_gamma 90.00
_symmetry_space_group_name_H-M 'I m m a'
_symmetry_Int_Tables_number 74
_symmetry_space_group_name_Hall '-I 2b 2'
loop_
_atom_site_label
_atom_site_type_symbol
_atom_site_fract_x
_atom_site_fract_y
_atom_site_fract_z
_atom_site_occupancy
Nd1 Nd 0.0000 0.2500 0.0010 1
Pd1 Pd 0.0000 0.2500 0.3080 1
Pd2 Pd 0.2500 0.0622 0.7500 1
Pt1 Pt 0.0000 0.0000 0.5000 1
```

Output
Calculated density ... 11.42 g/cm3
M_tot ... 0.000 μB/f.u.

***

Energy relative to the most stable one, in meV per atom: 1 81; 2 0

***

1.
Material: NdPd4Pt2
Method: DFT, PBE-GGA
State: optimized geometry

CIF file:
```
data_NdPd4Pt2
_cell_length_a 8.0936
_cell_length_b 8.0936
_cell_length_c 5.1493
_cell_angle_alpha 90.00
_cell_angle_beta 90.00
_cell_angle_gamma 90.00
_symmetry_space_group_name_H-M 'I 4/m m m'
_symmetry_Int_Tables_number 139
_symmetry_space_group_name_Hall '-I 4 2'
loop_
_atom_site_label
_atom_site_type_symbol
_atom_site_fract_x
_atom_site_fract_y
_atom_site_fract_z
_atom_site_occupancy
Nd1 Nd 0.0000 0.0000 0.0000 1
Pd1 Pd 0.0000 0.2208 0.5000 1
Pt1 Pt 0.0000 0.5000 0.2500 1
```

Output
Calculated density ... 9.45 g/cm3
M_tot ... 0.001 μB/f.u.

***

2.
Material: NdPd4Pt2
Method: DFT, PBE-GGA
State: optimized geometry

CIF file:
```
data_NdPd4Pt2
_cell_length_a 8.6399
_cell_length_b 6.8045
_cell_length_c 5.3518
_cell_angle_alpha 90.00
_cell_angle_beta 128.02
_cell_angle_gamma 90.00
_symmetry_space_group_name_H-M 'C 1 2/m 1'
_symmetry_Int_Tables_number 12
loop_
_symmetry_equiv_pos_as_xyz
'x,y,z'
'-x,-y,-z'
'-x,y,-z'
'x,-y,z'
'x+1/2,y+1/2,z'
'-x+1/2,-y+1/2,-z'
'-x+1/2,y+1/2,-z'
'x+1/2,-y+1/2,z'
loop_
_atom_site_label
_atom_site_type_symbol
_atom_site_fract_x
_atom_site_fract_y
_atom_site_fract_z
_atom_site_occupancy
Nd1 Nd 0.0000 0.0000 0.0000 1
Pd1 Pd 0.2029 0.2029 0.7028 1
Pt1 Pt 0.9998 0.5000 0.2499 1
```

Output
Calculated density ... 12.86 g/cm3
M_tot ... 0.000 μB/f.u.

***

Energy relative to the most stable one, in meV per atom: 1 712; 2 0